1.
DFT (GGA-PBE) results for a relaxed Na3Cd2Bi3 crystal.

Properties
Total magnetic moment (Bohr magnetons per cell): 0.0
Calculated formation energy (meV/atom): -228
VASP energy (eV per atom): -2.4070

Cell lengths 4.9976, 11.9588, 16.7972 Å; angles 90.00, 90.00, 90.00 degrees
Closest atoms and distances in Å follow each position.
Space group Cmcm (No. 63)
Inequivalent atoms, fractional coordinates:
1 Na 0.0000 0.0741 0.1220 (multiplicity 8)  6 Bi 3.40-3.76, 3 Cd 3.42-3.58
2 Na 0.0000 0.3480 0.2500 (multiplicity 4)  5 Bi 3.49-3.70, 4 Cd 3.51
3 Cd 0.0000 0.2117 0.6098 (multiplicity 8)  4 Bi 2.92-3.08
4 Bi 0.0000 0.3562 0.7500 (multiplicity 4)  2 Cd 2.92
5 Bi 0.0000 0.3774 0.0306 (multiplicity 8)  3 Cd 3.02-3.08, 1 Bi 3.11



2.
DFT (GGA-PBE) results for a relaxed TcSn2Pd crystal.

Properties
Total magnetic moment (Bohr magnetons per cell): 0.0
Calculated formation energy (meV/atom): -109
VASP energy (eV per atom): -6.0004
Offset from the most stable computed form (meV per atom): 0

Cell lengths 3.3596, 3.3596, 6.3643 Å; angles 90.00, 90.00, 90.00 degrees
Closest atoms and distances in Å follow each position.
Space group P4/mmm (No. 123)
Inequivalent atoms, fractional coordinates:
1 Tc 0.0000 0.0000 0.0000 (multiplicity 1)  8 Sn 2.83
2 Sn 0.5000 0.5000 0.2410 (multiplicity 2)  4 Tc 2.83, 4 Pd 2.89, 1 Sn 3.07
3 Pd 0.0000 0.0000 0.5000 (multiplicity 1)  8 Sn 2.89, 2 Tc 3.18



3.
DFT (GGA-PBE) results for a relaxed ScTlTe2 crystal.

Properties
Total magnetic moment (Bohr magnetons per cell): 0.0
VASP energy (eV per atom): -4.1463
Formation energy from raw total energies (kJ/mol of formula units): -155

Cell lengths 4.4964, 4.4964, 10.9309 Å; angles 90.00, 90.00, 90.00 degrees
Closest atoms and distances in Å follow each position.
Space group I-4m2 (No. 119)
Inequivalent atoms, fractional coordinates:
1 Sc 0.0000 0.0000 0.0000 (multiplicity 2)  8 Te 3.18-3.54, 4 Tl 3.54
2 Tl 0.0000 0.5000 0.2500 (multiplicity 2)  8 Te 3.18-3.54, 4 Sc 3.54
3 Te 0.0000 0.0000 0.5000 (multiplicity 2)  4 Sc 3.18, 4 Tl 3.54, 4 Te 3.54
4 Te 0.0000 0.5000 0.7500 (multiplicity 2)  4 Tl 3.18, 4 Te 3.54, 4 Sc 3.54



4.
DFT (GGA-PBE) results for a relaxed YMn2Te crystal.

Properties
Total magnetic moment (Bohr magnetons per cell): 14.2
VASP energy (eV per atom): -6.9391
Formation energy from raw total energies (kJ/mol of formula units): 18

Cell lengths 4.1539, 4.2215, 9.6681 Å; angles 90.00, 90.00, 90.00 degrees
Closest atoms and distances in Å follow each position.
Space group Imm2 (No. 44)
Inequivalent atoms, fractional coordinates:
1 Y 0.0000 0.0000 0.0000 (multiplicity 2)  8 Mn 3.01-3.24, 4 Te 3.18-3.21
2 Mn 0.0000 0.0000 0.5533 (multiplicity 2)  2 Mn 2.81, 2 Te 2.82, 4 Y 3.01
3 Mn 0.0000 0.5000 0.7456 (multiplicity 2)  2 Mn 2.81, 4 Te 2.96
4 Te 0.0000 0.5000 0.2508 (multiplicity 2)  6 Mn 2.82-2.96



5.
DFT (GGA-PBE) results for a relaxed K2MgAlTc crystal.

Properties
Total magnetic moment (Bohr magnetons per cell): 2.4
Calculated formation energy (meV/atom): 959
VASP energy (eV per atom): -2.6208

Cell lengths 6.5660, 6.5660, 4.7343 Å; angles 90.00, 90.00, 90.00 degrees
Closest atoms and distances in Å follow each position.
Space group P4/mmm (No. 123)
Inequivalent atoms, fractional coordinates:
1 K 0.0000 0.5000 0.0000 (multiplicity 2)  2 Al 3.28
2 Mg 0.0000 0.0000 0.5000 (multiplicity 1)  8 K 4.05
3 Al 0.5000 0.5000 0.0000 (multiplicity 1)  2 Tc 2.37
4 Tc 0.5000 0.5000 0.5000 (multiplicity 1)  2 Al 2.37



6.
DFT (GGA-PBE) results for a relaxed CsTlCdAu crystal.

Properties
Total magnetic moment (Bohr magnetons per cell): 0.0
Calculated formation energy (meV/atom): -62
VASP energy (eV per atom): -1.9150

Cell lengths 3.7394, 5.8511, 12.5325 Å; angles 90.00, 90.00, 90.00 degrees
Closest atoms and distances in Å follow each position.
Space group Amm2 (No. 38)
Inequivalent atoms, fractional coordinates:
1 Cs 0.0000 0.0000 0.0000 (multiplicity 2)  4 Au 3.49, 3 Cd 3.69-3.90, 2 Cs 3.74
2 Tl 0.5000 0.0000 0.7067 (multiplicity 2)  1 Au 2.95
3 Cd 0.0000 0.0000 0.2942 (multiplicity 2)  2 Au 2.90
4 Au 0.5000 0.0000 0.4713 (multiplicity 2)  2 Cd 2.90, 1 Tl 2.95



7.
DFT (GGA-PBE) results for a relaxed CuNi4Pt4 crystal.

Properties
Total magnetic moment (Bohr magnetons per cell): 7.6
Calculated formation energy (meV/atom): -43
VASP energy (eV per atom): -5.7527

Cell lengths 8.0374, 8.0374, 3.7293 Å; angles 90.00, 90.00, 90.00 degrees
Closest atoms and distances in Å follow each position.
Space group I4/mmm (No. 139)
Inequivalent atoms, fractional coordinates:
1 Cu 0.0000 0.0000 0.0000 (multiplicity 2)  8 Pt 2.66, 4 Ni 2.75
2 Ni 0.0000 0.3422 0.0000 (multiplicity 8)  5 Ni 2.54-2.59, 6 Pt 2.68-2.69, 1 Cu 2.75
3 Pt 0.1671 0.1671 0.5000 (multiplicity 8)  4 Pt 2.65-2.69, 2 Cu 2.66, 6 Ni 2.68-2.69



8.
DFT (GGA-PBE) results for a relaxed ErB6Mo2 crystal.

Properties
Total magnetic moment (Bohr magnetons per cell): 0.0
Calculated formation energy (meV/atom): -453
VASP energy (eV per atom): -7.8190
Offset from the most stable computed form (meV per atom): 30

Cell lengths 5.3570, 5.3570, 3.4768 Å; angles 90.00, 90.00, 120.00 degrees
Closest atoms and distances in Å follow each position.
Space group P6/mmm (No. 191)
Inequivalent atoms, fractional coordinates:
1 Er 0.0000 0.0000 0.0000 (multiplicity 1)  12 B 2.52
2 B 0.0000 0.3394 0.5000 (multiplicity 6)  3 B 1.72-1.82
3 Mo 0.3333 0.6667 0.0000 (multiplicity 2)  12 B 2.48



9.
DFT (GGA-PBE) results for a relaxed Tm2AlCu3Ni12 crystal.

Properties
Total magnetic moment (Bohr magnetons per cell): 0.0
Calculated formation energy (meV/atom): -89
VASP energy (eV per atom): -5.3302

Cell lengths 8.2532, 8.2532, 12.0488 Å; angles 90.00, 90.00, 120.00 degrees
Closest atoms and distances in Å follow each position.
Space group R-3m (No. 166, hexagonal axes)
Inequivalent atoms, fractional coordinates:
1 Tm 0.0000 0.0000 0.2108 (multiplicity 6)  9 Ni 2.69-2.77, 3 Cu 2.80
2 Al 0.0000 0.0000 0.5000 (multiplicity 3)  6 Ni 2.32
3 Cu 0.0000 0.5000 0.0000 (multiplicity 9)  10 Ni 2.49-2.79
4 Ni 0.0160 0.5080 0.2063 (multiplicity 18)  1 Al 2.32, 5 Ni 2.32-2.46, 1 Cu 2.49
5 Ni 0.0369 0.5184 0.6037 (multiplicity 18)  4 Ni 2.32-2.55



10.
DFT (GGA-PBE) results for a relaxed Ba2NbAu crystal.

Properties
Total magnetic moment (Bohr magnetons per cell): 15.3
Calculated formation energy (meV/atom): 629
VASP energy (eV per atom): -3.6691
Offset from the most stable computed form (meV per atom): 137

Cell lengths 9.0978, 9.0978, 6.7912 Å; angles 90.00, 90.00, 90.00 degrees
Closest atoms and distances in Å follow each position.
Space group I-42d (No. 122)
Inequivalent atoms, fractional coordinates:
1 Ba 0.2227 0.7500 0.1250 (multiplicity 8)  2 Au 3.16, 2 Ba 3.43, 2 Nb 3.50
2 Nb 0.0000 0.0000 0.5000 (multiplicity 4)  2 Au 3.40, 4 Ba 3.50
3 Au 0.0000 0.0000 0.0000 (multiplicity 4)  4 Ba 3.16, 2 Nb 3.40



11.
DFT (GGA-PBE) results for a relaxed TiGaPt3 crystal.

Properties
Total magnetic moment (Bohr magnetons per cell): 0.0
Calculated formation energy (meV/atom): -790
VASP energy (eV per atom): -6.5987
Offset from the most stable computed form (meV per atom): 0

Cell lengths 4.6800, 4.6831, 7.6484 Å; angles 72.25, 85.20, 74.47 degrees
Closest atoms and distances in Å follow each position.
Space group P-1 (No. 2)
Inequivalent atoms, fractional coordinates:
1 Ti 0.2503 0.1445 0.2097 (multiplicity 2)  9 Pt 2.65-2.92, 2 Ga 2.83
2 Ga 0.2495 0.3560 0.7882 (multiplicity 2)  8 Pt 2.64-2.82, 2 Ti 2.83
3 Pt 0.2497 0.7505 0.9983 (multiplicity 2)  4 Ti 2.79-2.80, 4 Pt 2.79-2.83, 4 Ga 2.79-2.82
4 Pt 0.2497 0.9452 0.6100 (multiplicity 2)  2 Ga 2.67-2.68, 3 Ti 2.68-2.92, 7 Pt 2.83-2.87
5 Pt 0.2508 0.5588 0.3814 (multiplicity 2)  2 Ga 2.64-2.65, 2 Ti 2.65, 7 Pt 2.79-2.91



12.
DFT (GGA-PBE) results for a relaxed AlPN2 crystal.

Properties
Total magnetic moment (Bohr magnetons per cell): 0.0
VASP energy (eV per atom): -5.3685
Formation energy from raw total energies (kJ/mol of formula units): 418
Offset from the most stable computed form (meV per atom): 1438

Cell lengths 5.3153, 5.3153, 5.3153 Å; angles 90.00, 90.00, 90.00 degrees
Closest atoms and distances in Å follow each position.
Space group Fm-3m (No. 225)
Inequivalent atoms, fractional coordinates:
1 Al 0.0000 0.0000 0.0000 (multiplicity 4)  8 N 2.30
2 P 0.0000 0.0000 0.5000 (multiplicity 4)  8 N 2.30
3 N 0.2500 0.2500 0.2500 (multiplicity 8)  4 Al 2.30, 4 P 2.30



13.
DFT (GGA-PBE) results for a relaxed Ba3AsF crystal.

Properties
Total magnetic moment (Bohr magnetons per cell): 2.1
VASP energy (eV per atom): -3.9486
Formation energy from raw total energies (kJ/mol of formula units): -719
Offset from the most stable computed form (meV per atom): 0

Cell lengths 8.8841, 4.5188, 8.8954 Å; angles 90.00, 109.70, 90.00 degrees
Closest atoms and distances in Å follow each position.
Space group P2/m (No. 10)
Inequivalent atoms, fractional coordinates:
1 Ba 0.0621 0.0000 0.3031 (multiplicity 2)  2 F 3.02
2 Ba 0.3029 0.0000 0.0614 (multiplicity 2)  2 F 3.02
3 Ba 0.3392 0.5000 0.6611 (multiplicity 2)  2 F 2.87
4 As 0.0000 0.5000 0.0000 (multiplicity 1)  8 Ba 3.41-3.42
5 As 0.5000 0.0000 0.5000 (multiplicity 1)  4 Ba 3.25
6 F 0.0000 0.5000 0.5000 (multiplicity 1)  6 Ba 2.87-3.02
7 F 0.5000 0.5000 0.0000 (multiplicity 1)  6 Ba 2.87-3.02



14.
DFT (GGA-PBE) results for a relaxed Cs3PuPb2O6 crystal.

Properties
Total magnetic moment (Bohr magnetons per cell): 6.0
VASP energy (eV per atom): -6.1984
Formation energy from raw total energies (kJ/mol of formula units): -1961

Cell lengths 6.7826, 11.4389, 7.1649 Å; angles 90.00, 108.84, 90.00 degrees
Closest atoms and distances in Å follow each position.
Space group C2/m (No. 12)
Inequivalent atoms, fractional coordinates:
1 Cs 0.0000 0.0000 0.0000 (multiplicity 2)  4 O 3.10
2 Cs 0.0000 0.3262 0.0000 (multiplicity 4)  6 O 2.92-3.21
3 Pu 0.0000 0.5000 0.5000 (multiplicity 2)  2 O 1.96
4 Pb 0.0000 0.1923 0.5000 (multiplicity 4)  2 O 2.33
5 O 0.1559 0.5000 0.3117 (multiplicity 4)  1 Pu 1.96
6 O 0.2037 0.3457 0.6737 (multiplicity 8)  1 Pb 2.33, 1 Pu 2.34



15.
DFT (GGA-PBE) results for a relaxed Tl2VHgCl6 crystal.

Properties
Total magnetic moment (Bohr magnetons per cell): 3.0
VASP energy (eV per atom): -3.4834
Formation energy from raw total energies (kJ/mol of formula units): -926

Cell lengths 7.6037, 7.6037, 20.4304 Å; angles 90.00, 90.00, 120.00 degrees
Closest atoms and distances in Å follow each position.
Space group R3 (No. 146, hexagonal axes)
Inequivalent atoms, fractional coordinates:
1 Tl 0.0000 0.0000 0.0000 (multiplicity 3)  6 Cl 3.17-3.21, 1 Hg 3.52
2 Tl 0.0000 0.0000 0.4714 (multiplicity 3)  6 Cl 3.19-3.25
3 V 0.0000 0.0000 0.6644 (multiplicity 3)  6 Cl 2.32-2.35
4 Hg 0.0000 0.0000 0.1723 (multiplicity 3)  6 Cl 3.52-3.69, 1 Tl 3.52
5 Cl 0.0149 0.7584 0.5967 (multiplicity 9)  1 V 2.35
6 Cl 0.0864 0.4117 0.3960 (multiplicity 9)  1 V 2.32



16.
DFT (GGA-PBE) results for a relaxed Rb3Nd2PuS6 crystal.

Properties
Total magnetic moment (Bohr magnetons per cell): 10.0
VASP energy (eV per atom): -6.0133
Formation energy from raw total energies (kJ/mol of formula units): -1990

Cell lengths 7.2942, 12.6333, 8.0606 Å; angles 90.00, 107.57, 90.00 degrees
Closest atoms and distances in Å follow each position.
Space group C2/m (No. 12)
Inequivalent atoms, fractional coordinates:
1 Rb 0.0000 0.0000 0.0000 (multiplicity 2)  6 S 3.36-3.40
2 Rb 0.0000 0.3323 0.0000 (multiplicity 4)  6 S 3.36-3.39
3 Nd 0.0000 0.1666 0.5000 (multiplicity 4)  6 S 2.87
4 Pu 0.0000 0.5000 0.5000 (multiplicity 2)  6 S 2.83
5 S 0.2292 0.3358 0.6951 (multiplicity 8)  1 Pu 2.83, 2 Nd 2.87
6 S 0.2368 0.0000 0.6954 (multiplicity 4)  1 Pu 2.83, 2 Nd 2.87



17.
DFT (GGA-PBE) results for a relaxed PdRuPt crystal.

Properties
Total magnetic moment (Bohr magnetons per cell): 0.0
Calculated formation energy (meV/atom): 69
VASP energy (eV per atom): -6.7673
Offset from the most stable computed form (meV per atom): 6

Cell lengths 4.7721, 8.2730, 4.8009 Å; angles 90.00, 109.55, 90.00 degrees
Closest atoms and distances in Å follow each position.
Space group C2/c (No. 15)
Inequivalent atoms, fractional coordinates:
1 Pd 0.0000 0.2500 0.2500 (multiplicity 4)  5 Ru 2.69-2.80, 5 Pt 2.75-2.77, 2 Pd 2.76
2 Ru 0.0000 0.0754 0.7500 (multiplicity 4)  5 Pd 2.69-2.80, 2 Ru 2.71, 5 Pt 2.73-2.81
3 Pt 0.0000 0.4154 0.7500 (multiplicity 4)  5 Ru 2.73-2.81, 5 Pd 2.75-2.77, 2 Pt 2.78



18.
DFT (GGA-PBE) results for a relaxed La3Al2CuO9 crystal.

Properties
Total magnetic moment (Bohr magnetons per cell): 2.0
VASP energy (eV per atom): -7.5342
Formation energy from raw total energies (kJ/mol of formula units): -4055

Cell lengths 5.4281, 5.4281, 6.6519 Å; angles 90.00, 90.00, 120.00 degrees
Closest atoms and distances in Å follow each position.
Space group P-3m1 (No. 164)
Inequivalent atoms, fractional coordinates:
1 La 0.0000 0.0000 0.0000 (multiplicity 1)  12 O 2.71
2 La 0.3333 0.6667 0.6588 (multiplicity 2)  12 O 2.68-2.76
3 Al 0.3333 0.6667 0.1579 (multiplicity 2)  6 O 1.89-1.90
4 Cu 0.0000 0.0000 0.5000 (multiplicity 1)  6 O 1.97
5 O 0.0000 0.5000 0.0000 (multiplicity 3)  2 Al 1.89
6 O 0.1707 0.3413 0.3281 (multiplicity 6)  1 Al 1.90, 1 Cu 1.97



19.
DFT (GGA-PBE) results for a relaxed CrCSeI2 crystal.

Properties
Total magnetic moment (Bohr magnetons per cell): 0.2
VASP energy (eV per atom): -3.3446
Formation energy from raw total energies (kJ/mol of formula units): 840

Cell lengths 5.0153, 5.0153, 4.3439 Å; angles 90.00, 90.00, 90.00 degrees
Closest atoms and distances in Å follow each position.
Space group P4/mmm (No. 123)
Inequivalent atoms, fractional coordinates:
1 Cr 0.0000 0.0000 0.0000 (multiplicity 1)  8 I 3.32, 4 Se 3.55
2 C 0.5000 0.5000 0.5000 (multiplicity 1)  2 Se 2.17
3 Se 0.5000 0.5000 0.0000 (multiplicity 1)  2 C 2.17
4 I 0.0000 0.5000 0.5000 (multiplicity 2)  2 C 2.51



20.
DFT (GGA-PBE) results for a relaxed Pu3Np2UN6 crystal.

Properties
Total magnetic moment (Bohr magnetons per cell): 43.5
VASP energy (eV per atom): -12.0584
Formation energy from raw total energies (kJ/mol of formula units): -1407

Cell lengths 5.9926, 10.3814, 6.0212 Å; angles 90.00, 109.36, 90.00 degrees
Closest atoms and distances in Å follow each position.
Space group C2/m (No. 12)
Inequivalent atoms, fractional coordinates:
1 Pu 0.0000 0.0000 0.0000 (multiplicity 2)  6 N 2.48-2.51
2 Pu 0.0000 0.3320 0.0000 (multiplicity 4)  6 N 2.48-2.50
3 Np 0.0000 0.1664 0.5000 (multiplicity 4)  6 N 2.43
4 U 0.0000 0.5000 0.5000 (multiplicity 2)  6 N 2.39
5 N 0.2438 0.3357 0.7390 (multiplicity 8)  1 U 2.39, 2 Np 2.43, 3 Pu 2.48-2.50
6 N 0.2481 0.5000 0.2605 (multiplicity 4)  1 U 2.39, 2 Np 2.43, 3 Pu 2.48-2.51



no.,calculated volume (Å³ per cell)
1,1004
2,72
3,221
4,170
5,204
6,274
7,241
8,86
9,711
10,562
11,154
12,150
13,336
14,526
15,1023
16,708
17,179
18,170
19,109
20,353